(1)
This record from Alexandria describes a relaxed structure of CoNiRh2. The functional is PBE.

Total moment (μB/f.u.): 3.5
Calculated volume (Å³/atom): 12.8
Symmetry: Cmmm (65)
ΔE to the lowest computed polymorph (eV per atom): 0.0076
D(E_F) (states/eV/cell): 6.987

Geometry as CIF:
```
data_CoNiRh2
_cell_length_a 4.506
_cell_length_b 4.506
_cell_length_c 2.651
_cell_angle_alpha 90.00
_cell_angle_beta 90.00
_cell_angle_gamma 107.80
_symmetry_space_group_name_H-M 'P 1'
_symmetry_Int_Tables_number 1
loop_
_symmetry_equiv_pos_as_xyz
'x,y,z'
loop_
_atom_site_label
_atom_site_fract_x
_atom_site_fract_y
_atom_site_fract_z
Co1 0.000 0.000 0.000
Ni1 0.500 0.500 0.000
Rh1 0.000 0.500 0.500
Rh2 0.500 0.000 0.500
```


(2)
This record from Alexandria describes a relaxed structure of VAuN2. The functional is PBE.

ΔE_f (raw) (meV per atom): -38
Total moment (μB/f.u.): 0.0
Calculated volume (Å³/atom): 13.2
Symmetry: I-42d (122)
ΔE to the lowest computed polymorph (eV per atom): 0.1121
D(E_F) (states/eV/cell): 0.899

Geometry as CIF:
```
data_VAuN2
_cell_length_a 5.630
_cell_length_b 5.630
_cell_length_c 5.630
_cell_angle_alpha 128.74
_cell_angle_beta 128.74
_cell_angle_gamma 75.43
_symmetry_space_group_name_H-M 'P 1'
_symmetry_Int_Tables_number 1
loop_
_symmetry_equiv_pos_as_xyz
'x,y,z'
loop_
_atom_site_label
_atom_site_fract_x
_atom_site_fract_y
_atom_site_fract_z
V1 0.000 0.000 0.000
V2 0.750 0.250 0.500
Au1 0.250 0.750 0.500
Au2 0.500 0.500 0.000
N1 0.042 0.625 0.917
N2 0.375 0.292 0.417
N3 0.708 0.125 0.083
N4 0.875 0.958 0.583
```


(3)
This record from Alexandria describes a relaxed structure of PrHoTh. The functional is PBE.

Total moment (μB/f.u.): 0.0
Calculated volume (Å³/atom): 33.2
Symmetry: P3m1 (156)
ΔE to the lowest computed polymorph (eV per atom): 0.0072
D(E_F) (states/eV/cell): 4.838

Geometry as CIF:
```
data_PrHoTh
_cell_length_a 3.603
_cell_length_b 3.603
_cell_length_c 8.850
_cell_angle_alpha 90.00
_cell_angle_beta 90.00
_cell_angle_gamma 120.00
_symmetry_space_group_name_H-M 'P 1'
_symmetry_Int_Tables_number 1
loop_
_symmetry_equiv_pos_as_xyz
'x,y,z'
loop_
_atom_site_label
_atom_site_fract_x
_atom_site_fract_y
_atom_site_fract_z
Pr1 0.000 0.000 0.000
Ho1 0.667 0.333 0.351
Th1 0.333 0.667 0.667
```


(4)
This record from Alexandria describes a relaxed structure of K4Pm3TaSe8. The functional is PBE.

ΔE_f (raw) (meV per atom): -1462
Total moment (μB/f.u.): 1.9
Calculated volume (Å³/atom): 29.4
Symmetry: R-3m (166)
D(E_F) (states/eV/cell): 5.942

Geometry as CIF:
```
data_K4Pm3TaSe8
_cell_length_a 9.115
_cell_length_b 9.115
_cell_length_c 9.115
_cell_angle_alpha 54.80
_cell_angle_beta 54.80
_cell_angle_gamma 54.80
_symmetry_space_group_name_H-M 'P 1'
_symmetry_Int_Tables_number 1
loop_
_symmetry_equiv_pos_as_xyz
'x,y,z'
loop_
_atom_site_label
_atom_site_fract_x
_atom_site_fract_y
_atom_site_fract_z
K1 0.000 0.000 0.000
K2 0.000 0.500 0.500
K3 0.500 0.000 0.500
K4 0.500 0.500 0.000
Pm1 0.000 0.000 0.500
Pm2 0.000 0.500 0.000
Pm3 0.500 0.000 0.000
Ta1 0.500 0.500 0.500
Se1 0.238 0.238 0.238
Se2 0.258 0.722 0.722
Se3 0.278 0.278 0.742
Se4 0.278 0.742 0.278
Se5 0.722 0.258 0.722
Se6 0.722 0.722 0.258
Se7 0.742 0.278 0.278
Se8 0.762 0.762 0.762
```